1.
Computed, not measured: a relaxed La3Ga3Cu crystal at the PBE level of DFT.

Cell and atoms, written as CIF:
```
data_La3Ga3Cu
_chemical_formula_sum 'La6 Ga6 Cu2'
_symmetry_space_group_name_H-M 'P 1'
_symmetry_Int_Tables_number 1
_cell_length_a 4.5835
_cell_length_b 5.9557
_cell_length_c 14.2602
_cell_angle_alpha 87.73
_cell_angle_beta 80.75
_cell_angle_gamma 67.37
loop_
_symmetry_equiv_pos_as_xyz
'x,y,z'
loop_
_atom_site_label
_atom_site_type_symbol
_atom_site_fract_x
_atom_site_fract_y
_atom_site_fract_z
Cu1 Cu 0.7434 0.1203 0.3928
Cu2 Cu 0.2566 0.8797 0.6072
Ga1 Ga 0.1060 0.8660 0.9219
Ga2 Ga 0.1306 0.2812 0.4576
Ga3 Ga 0.9535 0.8616 0.2313
Ga4 Ga 0.8694 0.7188 0.5424
Ga5 Ga 0.8940 0.1340 0.0781
Ga6 Ga 0.0465 0.1384 0.7687
La1 La 0.2454 0.2759 0.2332
La2 La 0.5560 0.2749 0.6131
La3 La 0.4440 0.7251 0.3869
La4 La 0.7546 0.7241 0.7668
La5 La 0.6063 0.7121 0.0752
La6 La 0.3937 0.2879 0.9248
```

Its formation energy is -50.8 kJ per mole of atoms.

---

2.
Computed, not measured: a relaxed ZrIrN2O crystal at the PBE level of DFT.

Cell and atoms, written as CIF:
```
data_ZrIrN2O
_chemical_formula_sum 'Zr1 Ir1 N2 O1'
_symmetry_space_group_name_H-M 'P 1'
_symmetry_Int_Tables_number 1
_cell_length_a 4.2449
_cell_length_b 4.2449
_cell_length_c 4.0014
_cell_angle_alpha 90.00
_cell_angle_beta 90.00
_cell_angle_gamma 90.00
loop_
_symmetry_equiv_pos_as_xyz
'x,y,z'
loop_
_atom_site_label
_atom_site_type_symbol
_atom_site_fract_x
_atom_site_fract_y
_atom_site_fract_z
Zr1 Zr 0.0000 0.0000 0.0000
N1 N 0.5000 0.0000 0.0000
N2 N 0.0000 0.5000 0.0000
O1 O 0.0000 0.0000 0.5000
Ir1 Ir 0.5000 0.5000 0.5000
```

The formation energy from raw total energies is 748 meV per atom.

---

3.
Computed, not measured: a relaxed GeBRu crystal at the PBE level of DFT.

Cell and atoms, written as CIF:
```
data_GeBRu
_chemical_formula_sum 'Ge2 B2 Ru2'
_symmetry_space_group_name_H-M 'P 1'
_symmetry_Int_Tables_number 1
_cell_length_a 4.6597
_cell_length_b 2.9003
_cell_length_c 6.4527
_cell_angle_alpha 102.99
_cell_angle_beta 111.17
_cell_angle_gamma 90.00
loop_
_symmetry_equiv_pos_as_xyz
'x,y,z'
loop_
_atom_site_label
_atom_site_type_symbol
_atom_site_fract_x
_atom_site_fract_y
_atom_site_fract_z
Ru1 Ru 0.1992 0.6992 0.3984
Ru2 Ru 0.8008 0.3008 0.6016
Ge1 Ge 0.2534 0.5000 0.0000
Ge2 Ge 0.7466 0.5000 0.0000
B1 B 0.6335 0.1335 0.2670
B2 B 0.3665 0.8665 0.7330
```

Its formation energy is 82.5 kJ per mole of atoms.

---

Final energy for the records above, in order: -4.5209 -7.0556 -6.0020 eV/atom
Calculated density for the records above, in order: 6.5 7.5 7.8 g/cm³